[1]
Material: ZrSc2Ru
Method: DFT, meta-GGA SCAN
State: PBEsol geometry

Summary:
The density of states at the Fermi level comes out at 3.98 states/eV/cell. Its final energy is -95.42 eV per formula unit.

Cell lengths 3.186, 3.186, 7.599 Å; angles 90.00, 90.00, 90.00 degrees
Positions (direct):
Zr1 0.000 0.000 0.000
Sc1 0.500 0.500 0.299
Sc2 0.500 0.500 0.701
Ru1 0.000 0.000 0.500

=====

[2]
Material: CaGeP2O
Method: DFT, meta-GGA SCAN
State: PBEsol geometry

Summary:
The density of states at the Fermi level comes out at 4.89 states/eV/cell. Its final energy is -52.51 eV per formula unit.

Cell lengths 5.196, 5.196, 4.027 Å; angles 90.00, 90.00, 90.00 degrees
Positions (direct):
Ca1 0.000 0.000 0.000
Ge1 0.500 0.500 0.500
P1 0.000 0.500 0.000
P2 0.500 0.000 0.000
O1 0.000 0.000 0.500

=====

[3]
Material: USnPd
Method: DFT, meta-GGA SCAN
State: PBEsol geometry

Summary:
The density of states at the Fermi level comes out at 6.33 states/eV/cell. Its final energy is -173.36 eV per formula unit.

Cell lengths 4.901, 4.901, 5.663 Å; angles 90.00, 90.00, 120.00 degrees
Positions (direct):
U1 0.000 0.000 0.000
U2 0.000 0.000 0.500
Sn1 0.333 0.667 0.250
Sn2 0.667 0.333 0.750
Pd1 0.333 0.667 0.750
Pd2 0.667 0.333 0.250

=====

[4]
Material: FeCu5
Method: DFT, meta-GGA SCAN
State: PBEsol geometry

Summary:
The density of states at the Fermi level comes out at 2.85 states/eV/cell. Its final energy is -93.65 eV per formula unit.

Cell lengths 4.145, 6.723, 6.723 Å; angles 21.20, 90.00, 90.00 degrees
Positions (direct):
Fe1 0.000 0.000 0.000
Cu1 0.000 0.333 0.333
Cu2 0.000 0.667 0.667
Cu3 0.500 0.226 0.226
Cu4 0.500 0.559 0.559
Cu5 0.500 0.892 0.892

=====

[5]
Material: CrWCl2
Method: DFT, meta-GGA SCAN
State: PBEsol geometry

Summary:
The density of states at the Fermi level comes out at 3.44 states/eV/cell. Its final energy is -99.64 eV per formula unit.

Cell lengths 4.448, 4.448, 4.448 Å; angles 60.00, 60.00, 60.00 degrees
Positions (direct):
Cr1 0.000 0.000 0.000
W1 0.750 0.750 0.750
Cl1 0.250 0.250 0.250
Cl2 0.500 0.500 0.500

=====

[6]
Material: SrTl2Tc
Method: DFT, meta-GGA SCAN
State: PBEsol geometry

Summary:
The density of states at the Fermi level comes out at 1.50 states/eV/cell. Its final energy is -201.08 eV per formula unit.

Cell lengths 3.508, 3.508, 7.494 Å; angles 90.00, 90.00, 90.00 degrees
Positions (direct):
Sr1 0.000 0.000 0.000
Tl1 0.500 0.500 0.300
Tl2 0.500 0.500 0.700
Tc1 0.000 0.000 0.500

=====

[7]
Material: ZrNiMo
Method: DFT, meta-GGA SCAN
State: PBEsol geometry

Summary:
The density of states at the Fermi level comes out at 1.99 states/eV/cell. Its final energy is -81.67 eV per formula unit.

Cell lengths 6.364, 6.364, 6.364 Å; angles 155.00, 155.00, 35.65 degrees
Positions (direct):
Zr1 0.000 0.000 0.000
Ni1 0.665 0.665 0.000
Mo1 0.305 0.305 0.000

=====

[8]
Material: GeBiOs2Au
Method: DFT, meta-GGA SCAN
State: PBEsol geometry

Summary:
The density of states at the Fermi level comes out at 4.08 states/eV/cell. Its final energy is -298.89 eV per formula unit.

Cell lengths 4.896, 4.896, 5.266 Å; angles 90.00, 90.00, 90.00 degrees
Positions (direct):
Ge1 0.000 0.000 0.000
Bi1 0.500 0.500 0.000
Os1 0.000 0.500 0.500
Os2 0.500 0.000 0.500
Au1 0.500 0.500 0.500